A | {"formula": "V4W5", "functional": "PBE-GGA", "state": "relaxed", "magmom_total_mub_per_cell": 0.000, "volume_a3_per_atom": 14.920, "cell": [[2.9655, 0.0000, 0.9349], [1.4828, 6.5715, 0.4674], [-0.4930, 0.0000, 6.7349]], "species": ["W", "W", "W", "W", "V", "V", "W", "V", "V"], "fractional_positions": [[0.0000, 0.0000, 0.0000], [0.0000, 0.3297, 0.6703], [0.6703, 0.3297, 0.3297], [0.3297, 0.6703, 0.6703], [0.3336, 0.3328, 0.0000], [0.6664, 0.0000, 0.6671], [0.0000, 0.6703, 0.3297], [0.6664, 0.6671, 0.0000], [0.3336, 0.0000, 0.3328]]}

B | {"formula": "V4W5", "functional": "PBE-GGA", "state": "relaxed", "magmom_total_mub_per_cell": 0.000, "volume_a3_per_atom": 14.911, "cell": [[4.3818, 0.0000, 0.0000], [2.1909, 4.6321, -0.5191], [2.1909, 0.7349, 6.5295]], "species": ["V", "W", "V", "W", "V", "W", "W", "W", "V"], "fractional_positions": [[0.4434, 0.8897, 0.2234], [0.1123, 0.2208, 0.5546], [0.6666, 0.3315, 0.3352], [0.2226, 0.4428, 0.1120], [0.3334, 0.6685, 0.6648], [0.7774, 0.5572, 0.8880], [0.8877, 0.7792, 0.4454], [0.0000, 0.0000, 0.0000], [0.5566, 0.1103, 0.7766]]}

The most stable of them is B.

A | {"formula": "Y3VW", "functional": "PBE-GGA", "state": "relaxed", "magmom_total_mub_per_cell": 4.222, "volume_a3_per_atom": 27.308, "cell": [[5.1493, 0.0000, 0.0000], [0.0000, 5.1493, 0.0000], [0.0000, 0.0000, 5.1493]], "species": ["W", "Y", "Y", "Y", "V"], "fractional_positions": [[0.5000, 0.5000, 0.5000], [0.0000, 0.0000, 0.5000], [0.5000, 0.0000, 0.0000], [0.0000, 0.5000, 0.0000], [0.0000, 0.0000, 0.0000]]}

B | {"formula": "Y3VW", "functional": "PBE-GGA", "state": "relaxed", "magmom_total_mub_per_cell": 4.063, "volume_a3_per_atom": 31.415, "cell": [[5.3955, 0.0000, 0.0000], [0.0000, 5.3955, 0.0000], [0.0000, 0.0000, 5.3955]], "species": ["Y", "V", "Y", "Y", "W"], "fractional_positions": [[0.0000, 0.0000, 0.5000], [0.5000, 0.5000, 0.5000], [0.5000, 0.0000, 0.0000], [0.0000, 0.5000, 0.0000], [0.0000, 0.0000, 0.0000]]}

The most stable of them is B.

A | {"formula": "YV2W", "functional": "PBE-GGA", "state": "relaxed", "magmom_total_mub_per_cell": 0.002, "volume_a3_per_atom": 17.223, "cell": [[0.0000, 3.2537, 3.2537], [3.2537, 0.0000, 3.2537], [3.2537, 3.2537, 0.0000]], "species": ["W", "V", "V", "Y"], "fractional_positions": [[0.5000, 0.5000, 0.5000], [0.7500, 0.7500, 0.7500], [0.2500, 0.2500, 0.2500], [0.0000, 0.0000, 0.0000]]}

B | {"formula": "YV2W", "functional": "PBE-GGA", "state": "relaxed", "magmom_total_mub_per_cell": 0.000, "volume_a3_per_atom": 21.492, "cell": [[-0.8722, 4.1316, -1.0903], [-0.6334, -1.2255, -4.1372], [-9.5122, 0.0662, -0.8618]], "species": ["V", "Y", "V", "Y", "V", "W", "W", "V"], "fractional_positions": [[0.3750, 0.2053, 0.7500], [0.2500, 0.7500, 0.5000], [0.8750, 0.0447, 0.7500], [0.5000, 0.5000, 0.0000], [0.9553, 0.6250, 0.2500], [0.7500, 0.2500, 0.5000], [0.0000, 0.0000, 0.0000], [0.7947, 0.1250, 0.2500]]}

The most stable of them is A.

A | {"formula": "VZn2W", "functional": "PBE-GGA", "state": "relaxed", "magmom_total_mub_per_cell": 0.349, "volume_a3_per_atom": 15.758, "cell": [[3.6289, 0.0000, 0.0000], [0.0000, 3.6289, 0.0000], [1.8144, 1.8144, 9.5731]], "species": ["Zn", "W", "V", "V", "Zn", "Zn", "Zn", "W"], "fractional_positions": [[0.6245, 0.1250, 0.2500], [0.0000, 0.0000, 0.0000], [0.5000, 0.5000, 0.0000], [0.2500, 0.7500, 0.5000], [0.1255, 0.6250, 0.2500], [0.8750, 0.8745, 0.7500], [0.3750, 0.3755, 0.7500], [0.7500, 0.2500, 0.5000]]}

B | {"formula": "VZn2W", "functional": "PBE-GGA", "state": "relaxed", "magmom_total_mub_per_cell": 0.476, "volume_a3_per_atom": 14.458, "cell": [[4.1380, -1.1174, 0.6853], [1.5076, -0.3614, 4.0544], [0.9517, -3.9126, 1.6210]], "species": ["V", "Zn", "Zn", "W"], "fractional_positions": [[0.0000, 0.0000, 0.0000], [0.2500, 0.2500, 0.2500], [0.7500, 0.7500, 0.7500], [0.5000, 0.5000, 0.5000]]}

The most stable of them is B.

A | {"formula": "ZrVW3", "functional": "PBE-GGA", "state": "relaxed", "magmom_total_mub_per_cell": 0.000, "volume_a3_per_atom": 19.203, "cell": [[4.5791, 0.0000, 0.0000], [0.0000, 4.5791, 0.0000], [0.0000, 0.0000, 4.5791]], "species": ["W", "V", "W", "Zr", "W"], "fractional_positions": [[0.0000, 0.5000, 0.0000], [0.0000, 0.0000, 0.0000], [0.0000, 0.0000, 0.5000], [0.5000, 0.5000, 0.5000], [0.5000, 0.0000, 0.0000]]}

B | {"formula": "ZrVW3", "functional": "PBE-GGA", "state": "relaxed", "magmom_total_mub_per_cell": 3.247, "volume_a3_per_atom": 22.026, "cell": [[-4.2919, 2.1337, -0.0487], [-1.8198, -3.6015, 2.5872], [1.1151, 2.3350, 4.0348]], "species": ["W", "Zr", "V", "W", "W"], "fractional_positions": [[0.0000, 0.5000, 0.0000], [0.0000, 0.0000, 0.0000], [0.5000, 0.5000, 0.5000], [0.0000, 0.0000, 0.5000], [0.5000, 0.0000, 0.0000]]}

The most stable of them is A.

A | {"formula": "ZrV2W", "functional": "PBE-GGA", "state": "relaxed", "magmom_total_mub_per_cell": 0.006, "volume_a3_per_atom": 16.153, "cell": [[-1.2414, 3.5915, -2.4181], [-1.4478, -0.5258, -4.2325], [-4.3445, 0.6548, -0.9919]], "species": ["V", "W", "Zr", "V"], "fractional_positions": [[0.2500, 0.2500, 0.2500], [0.5000, 0.5000, 0.5000], [0.0000, 0.0000, 0.0000], [0.7500, 0.7500, 0.7500]]}

B | {"formula": "ZrV2W", "functional": "PBE-GGA", "state": "relaxed", "magmom_total_mub_per_cell": 0.007, "volume_a3_per_atom": 16.401, "cell": [[3.1389, 0.0000, 0.0000], [0.0000, 3.1389, 0.0000], [0.0000, 0.0000, 6.6585]], "species": ["Zr", "V", "W", "V"], "fractional_positions": [[0.5000, 0.5000, 0.5000], [0.0000, 0.0000, 0.7804], [0.5000, 0.5000, 0.0000], [0.0000, 0.0000, 0.2196]]}

The most stable of them is B.

A | {"formula": "ZrV2W", "functional": "PBE-GGA", "state": "relaxed", "magmom_total_mub_per_cell": 0.000, "volume_a3_per_atom": 17.459, "cell": [[-2.8693, -6.4722, 0.1580], [4.8696, -2.0436, 4.7179], [-0.6778, -3.4634, 4.5140]], "species": ["V", "W", "Zr", "V", "V", "V", "Zr", "W"], "fractional_positions": [[0.6508, 0.1250, 0.2500], [0.0000, 0.0000, 0.0000], [0.5000, 0.5000, 0.0000], [0.8750, 0.9008, 0.7500], [0.0992, 0.6250, 0.2500], [0.3750, 0.3492, 0.7500], [0.2500, 0.7500, 0.5000], [0.7500, 0.2500, 0.5000]]}

B | {"formula": "ZrV2W", "functional": "PBE-GGA", "state": "relaxed", "magmom_total_mub_per_cell": 0.269, "volume_a3_per_atom": 16.142, "cell": [[3.1738, 0.0000, 0.0000], [0.0000, 4.5104, 0.0000], [0.0000, 0.0000, 4.5104]], "species": ["V", "V", "Zr", "W"], "fractional_positions": [[0.0000, 0.5000, 0.0000], [0.0000, 0.0000, 0.5000], [0.5000, 0.5000, 0.5000], [0.5000, 0.0000, 0.0000]]}

The most stable of them is B.

A | {"formula": "ZrVW", "functional": "PBE-GGA", "state": "relaxed", "magmom_total_mub_per_cell": 0.000, "volume_a3_per_atom": 17.335, "cell": [[3.2087, 0.0000, 0.0000], [0.0000, 3.2087, 0.0000], [-1.6044, -1.6044, 5.0510]], "species": ["V", "W", "Zr"], "fractional_positions": [[0.6854, 0.6854, 0.3709], [0.3147, 0.3147, 0.6295], [0.9998, 0.9998, 0.9997]]}

B | {"formula": "ZrVW", "functional": "PBE-GGA", "state": "relaxed", "magmom_total_mub_per_cell": 0.000, "volume_a3_per_atom": 17.659, "cell": [[5.3072, -0.0063, 0.0085], [-0.0193, 5.3072, -0.0085], [-2.6329, -2.6614, 3.7618]], "species": ["Zr", "W", "Zr", "W", "V", "V"], "fractional_positions": [[0.8752, 0.1252, 0.7500], [0.5000, 0.5000, 0.5000], [0.1248, 0.8748, 0.2500], [0.5000, 0.0000, 0.0000], [0.5000, 0.5000, 0.0000], [0.0000, 0.5000, 0.5000]]}

The most stable of them is B.

A | {"formula": "YV", "functional": "PBE-GGA", "state": "relaxed", "magmom_total_mub_per_cell": 0.000, "volume_a3_per_atom": 23.613, "cell": [[12.6315, 0.0000, 0.0000], [0.0000, 3.4535, 0.0000], [0.0000, 0.0000, 6.4956]], "species": ["Y", "V", "Y", "Y", "V", "Y", "V", "V", "Y", "V", "V", "Y"], "fractional_positions": [[0.0000, 0.7507, 0.9389], [0.4041, 0.7486, 0.1057], [0.2177, 0.2491, 0.2128], [0.5000, 0.2493, 0.4389], [0.0959, 0.2514, 0.6057], [0.7823, 0.2491, 0.2128], [0.5959, 0.7486, 0.1057], [0.5000, 0.2484, 0.9261], [0.7177, 0.7509, 0.7128], [0.9041, 0.2514, 0.6057], [0.0000, 0.7516, 0.4261], [0.2823, 0.7509, 0.7128]]}

B | {"formula": "YV", "functional": "PBE-GGA", "state": "relaxed", "magmom_total_mub_per_cell": 0.000, "volume_a3_per_atom": 22.228, "cell": [[10.4412, 0.0000, 0.0000], [0.0000, 10.4412, 0.0000], [0.0000, 0.0000, 3.2623]], "species": ["Y", "V", "Y", "V", "Y", "V", "Y", "V", "Y", "Y", "V", "V", "V", "Y", "V", "Y"], "fractional_positions": [[0.8422, 0.8555, 0.0000], [0.5106, 0.1303, 0.0000], [0.6445, 0.6578, 0.5000], [0.3697, 0.9894, 0.5000], [0.3422, 0.6445, 0.5000], [0.8697, 0.5106, 0.0000], [0.1578, 0.1445, 0.0000], [0.9894, 0.6303, 0.5000], [0.3555, 0.3422, 0.5000], [0.1445, 0.8422, 0.0000], [0.6303, 0.0106, 0.5000], [0.4894, 0.8697, 0.0000], [0.0106, 0.3697, 0.5000], [0.8555, 0.1578, 0.0000], [0.1303, 0.4894, 0.0000], [0.6578, 0.3555, 0.5000]]}

C | {"formula": "YV", "functional": "PBE-GGA", "state": "relaxed", "magmom_total_mub_per_cell": 0.000, "volume_a3_per_atom": 22.819, "cell": [[-2.8117, -1.5324, 0.7560], [-0.6996, -0.7084, -4.4192], [4.3571, -4.5162, 1.0123]], "species": ["Y", "Y", "V", "V"], "fractional_positions": [[0.1452, 0.2136, 0.3209], [0.8548, 0.7864, 0.6791], [0.5557, 0.3148, 0.9107], [0.4443, 0.6852, 0.0893]]}

The most stable of them is B.

A | {"formula": "YV2Zn2", "functional": "PBE-GGA", "state": "relaxed", "magmom_total_mub_per_cell": 0.000, "volume_a3_per_atom": 16.905, "cell": [[7.7350, 0.0000, 0.0000], [0.0000, 7.7350, 0.0000], [0.0000, 0.0000, 2.8254]], "species": ["Zn", "Y", "V", "Zn", "Zn", "V", "V", "V", "Zn", "Y"], "fractional_positions": [[0.3123, 0.1877, 0.5000], [0.5000, 0.5000, 0.0000], [0.6016, 0.1016, 0.0000], [0.6877, 0.8123, 0.5000], [0.8123, 0.3123, 0.5000], [0.1016, 0.3984, 0.0000], [0.8984, 0.6016, 0.0000], [0.3984, 0.8984, 0.0000], [0.1877, 0.6877, 0.5000], [0.0000, 0.0000, 0.0000]]}

B | {"formula": "YV2Zn2", "functional": "PBE-GGA", "state": "relaxed", "magmom_total_mub_per_cell": 0.000, "volume_a3_per_atom": 18.281, "cell": [[4.1971, 0.0000, 0.0000], [0.0000, 4.1971, 0.0000], [2.0986, 2.0986, 5.1887]], "species": ["Y", "Zn", "Zn", "V", "V"], "fractional_positions": [[0.0000, 0.0000, 0.0000], [0.7500, 0.2500, 0.5000], [0.2500, 0.7500, 0.5000], [0.4070, 0.4070, 0.1860], [0.5930, 0.5930, 0.8140]]}

The most stable of them is A.

A | {"formula": "YZr3V", "functional": "PBE-GGA", "state": "relaxed", "magmom_total_mub_per_cell": 2.836, "volume_a3_per_atom": 27.148, "cell": [[5.1393, 0.0000, 0.0000], [0.0000, 5.1393, 0.0000], [0.0000, 0.0000, 5.1393]], "species": ["Zr", "Y", "Zr", "Zr", "V"], "fractional_positions": [[0.0000, 0.0000, 0.5000], [0.0000, 0.0000, 0.0000], [0.5000, 0.0000, 0.0000], [0.0000, 0.5000, 0.0000], [0.5000, 0.5000, 0.5000]]}

B | {"formula": "YZr3V", "functional": "PBE-GGA", "state": "relaxed", "magmom_total_mub_per_cell": 0.000, "volume_a3_per_atom": 25.239, "cell": [[-3.2076, 1.5702, -3.5221], [-2.9539, -3.9455, 0.9312], [-2.4789, 2.6697, 3.4478]], "species": ["Y", "Zr", "Zr", "Zr", "V"], "fractional_positions": [[0.5000, 0.5000, 0.5000], [0.5000, 0.0000, 0.0000], [0.0000, 0.0000, 0.5000], [0.0000, 0.5000, 0.0000], [0.0000, 0.0000, 0.0000]]}

The most stable of them is B.

A | {"formula": "Y2ZrV", "functional": "PBE-GGA", "state": "relaxed", "magmom_total_mub_per_cell": 4.413, "volume_a3_per_atom": 26.068, "cell": [[8.1917, 0.0000, 0.0000], [0.0000, 8.1917, 0.0000], [4.0959, 4.0959, 3.1078]], "species": ["V", "Zr", "V", "Zr", "Y", "Y", "Y", "Y"], "fractional_positions": [[0.5000, 0.5000, 0.0000], [0.0000, 0.0000, 0.0000], [0.2500, 0.7500, 0.5000], [0.7500, 0.2500, 0.5000], [0.3750, 0.4111, 0.7500], [0.1611, 0.6250, 0.2500], [0.5889, 0.1250, 0.2500], [0.8750, 0.8389, 0.7500]]}

B | {"formula": "Y2ZrV", "functional": "PBE-GGA", "state": "relaxed", "magmom_total_mub_per_cell": 1.840, "volume_a3_per_atom": 25.284, "cell": [[-0.2807, -4.6195, 2.4353], [-4.6599, -2.1702, 0.9614], [-1.4947, -4.2605, -2.6388]], "species": ["Y", "Zr", "Y", "V"], "fractional_positions": [[0.7500, 0.7500, 0.7500], [0.5000, 0.5000, 0.5000], [0.2500, 0.2500, 0.2500], [0.0000, 0.0000, 0.0000]]}

The most stable of them is B.